First-principles (GGA-PBE) data for an optimized crystal structure of Pr2Sm5Ho, as listed in Alexandria via LeMat-Bulk.

Computed properties:
D(E_F), states/eV/f.u.: 11.61
Energy relative to the lowest polymorph listed for this composition, meV per atom: 123
E_form, meV per atom: 138
Total energy, eV/cell: -293.01

Lattice parameters (Å, degrees): 18.5868 10.2182 11.6259 90.00 92.18 90.00
With the nearest neighbours (Å) after each atom.
Space group C2/c (No. 15)
Asymmetric unit:
Pr 0.0579 0.2471 0.3584 x8  4 Sm 3.23-3.61, 2 Pr 3.25-3.48
Pr 0.0751 0.1814 0.6518 x8  5 Sm 3.36-3.70, 2 Pr 3.48-3.67
Sm 0.0487 0.4180 0.8877 x8  3 Pr 3.36-3.70, 6 Sm 3.44-3.69, 1 Ho 3.50
Sm 0.0977 0.1281 0.0465 x8  2 Pr 3.36-3.42, 4 Sm 3.45-3.72, 2 Ho 3.56-3.63
Sm 0.1388 0.4665 0.1480 x8  7 Sm 3.42-3.79, 2 Pr 3.68-3.79, 2 Ho 3.70-3.79
Sm 0.1805 0.0282 0.3244 x8  2 Pr 3.23-3.49, 2 Ho 3.39-3.41, 4 Sm 3.42-3.58
Sm 0.2376 0.3754 0.4053 x8  5 Sm 3.40-3.79, 2 Ho 3.44-3.65, 2 Pr 3.61-3.62
Ho 0.2224 0.2924 0.8620 x8  9 Sm 3.39-3.79, 1 Ho 3.44, 1 Pr 3.77

***

First-principles (GGA-PBE) data for an optimized crystal structure of Pa2NiSbN5, as listed in Alexandria via LeMat-Bulk.

Computed properties:
Energy relative to the elements, uncorrected, kJ/mol of atoms: -50
D(E_F), states/eV/f.u.: 3.13
Total energy, eV/cell: -300.89

Lattice parameters (Å, degrees): 3.2819 13.6966 10.0457 90.00 90.00 90.00
With the nearest neighbours (Å) after each atom.
Space group Cmc2_1 (No. 36)
Asymmetric unit:
Pa 0.0000 0.1005 0.0000 x4  6 N 2.31-2.59
Pa 0.0000 0.1341 0.6220 x4  7 N 2.37-2.62
Ni 0.0000 0.4955 0.2970 x4  4 N 1.94-2.01
Sb 0.0000 0.1934 0.3221 x4  6 N 2.14-2.34
N 0.0000 0.0425 0.3778 x4  2 Ni 1.94, 1 Sb 2.14
N 0.0000 0.2892 0.9867 x4  2 Sb 2.34, 3 Pa 2.38-2.59
N 0.0000 0.3080 0.6784 x4  2 Sb 2.19
N 0.0000 0.3504 0.3247 x4  1 Ni 2.01, 1 Sb 2.15
N 0.0000 0.4902 0.1006 x4  1 Ni 1.97

***

First-principles (GGA-PBE) data for an optimized crystal structure of Na4MgIn3O8, as listed in Alexandria via LeMat-Bulk.

Computed properties:
Energy relative to the elements, uncorrected, kJ/mol of atoms: -159
D(E_F), states/eV/f.u.: 10.57
Total energy, eV/cell: -243.58

Lattice parameters (Å, degrees): 6.4770 6.4770 16.5855 90.00 90.00 120.00
With the nearest neighbours (Å) after each atom.
Space group R-3m (No. 166, hexagonal axes)
Asymmetric unit:
Na 0.0000 0.0000 0.0000 x3  6 O 2.48
Na 0.0000 0.5000 0.0000 x9  6 O 2.43-2.45
Mg 0.0000 0.0000 0.5000 x3  6 O 2.18
In 0.0000 0.5000 0.5000 x9  6 O 2.21-2.23
O 0.0000 0.0000 0.2399 x6  3 In 2.23, 3 Na 2.43
O 0.0043 0.5021 0.2366 x18  1 Mg 2.18, 2 In 2.21

***

First-principles (GGA-PBE) data for an optimized crystal structure of TiGa2Fe2, as listed in Alexandria via LeMat-Bulk.

Computed properties:
D(E_F), states/eV/f.u.: 4.08
E_form, meV per atom: -119
Total energy, eV/cell: -62.94

Lattice parameters (Å, degrees): 6.7347 6.7347 2.9183 90.00 90.00 90.00
With the nearest neighbours (Å) after each atom.
Space group P4/mbm (No. 127)
Asymmetric unit:
Ti 0.0000 0.0000 0.0000 x2  4 Fe 2.60
Ga 0.1563 0.3437 0.5000 x4  6 Fe 2.42-2.48
Fe 0.1410 0.6410 0.0000 x4  6 Ga 2.42-2.48, 2 Ti 2.60, 1 Fe 2.69

***

First-principles (GGA-PBE) data for an optimized crystal structure of TbSe6Br12, as listed in Alexandria via LeMat-Bulk.

Computed properties:
Energy relative to the elements, uncorrected, kJ/mol of atoms: -32
D(E_F), states/eV/f.u.: 11.14
Total energy, eV/cell: -155.81

Lattice parameters (Å, degrees): 11.0235 11.0235 20.4263 90.00 90.00 120.00
With the nearest neighbours (Å) after each atom.
Space group R-3 (No. 148, hexagonal axes)
Asymmetric unit:
Tb 0.0000 0.0000 0.0000 x3  6 Br 2.84
Se 0.0325 0.1504 0.6475 x18  1 Br 2.38, 2 Se 2.62
Br 0.0356 0.8112 0.2475 x18  1 Se 2.38
Br 0.0636 0.8266 0.0790 x18  1 Tb 2.84, 1 Se 2.94

***

First-principles (GGA-PBE) data for an optimized crystal structure of Tb4GaTeSe2, as listed in Alexandria via LeMat-Bulk.

Computed properties:
Energy relative to the elements, uncorrected, kJ/mol of atoms: -134
D(E_F), states/eV/f.u.: 3.03
Total energy, eV/cell: -42.75

Lattice parameters (Å, degrees): 7.2889 4.1199 7.3916 90.00 108.72 90.00
With the nearest neighbours (Å) after each atom.
Space group P2/m (No. 10)
Asymmetric unit:
Tb 0.2423 0.0000 0.2276 x2  3 Se 2.88-3.07, 1 Ga 2.90, 2 Te 3.07
Tb 0.2508 0.5000 0.7613 x2  3 Se 2.92-3.01, 2 Ga 2.93, 1 Te 3.05
Ga 0.5000 0.0000 0.0000 x1  6 Tb 2.90-2.93
Te 0.5000 0.5000 0.5000 x1  6 Tb 3.05-3.07
Se 0.0000 0.0000 0.5000 x1  6 Tb 3.01-3.07
Se 0.0000 0.5000 0.0000 x1  6 Tb 2.88-2.92

***

First-principles (GGA-PBE) data for an optimized crystal structure of Sc2InOs, as listed in Alexandria via LeMat-Bulk.

Computed properties:
D(E_F), states/eV/f.u.: 3.04
E_form, meV per atom: -258
Total energy, eV/cell: -55.32

Lattice parameters (Å, degrees): 3.3148 4.7438 10.1801 90.00 90.00 90.00
With the nearest neighbours (Å) after each atom.
Space group Imm2 (No. 44)
Asymmetric unit:
Sc 0.0000 0.0000 0.0000 x2  4 Os 2.89, 2 Sc 3.20
Sc 0.0000 0.5000 0.2108 x2  2 Os 2.69, 4 In 2.98
In 0.0000 0.5000 0.7810 x2  2 Os 2.80, 4 Sc 2.98
Os 0.0000 0.0000 0.5031 x2  6 Sc 2.69-2.89, 2 In 2.80

***

First-principles (GGA-PBE) data for an optimized crystal structure of Pr3NdErTm, as listed in Alexandria via LeMat-Bulk.

Computed properties:
D(E_F), states/eV/f.u.: 9.11
E_form, meV per atom: 20
Total energy, eV/cell: -112.08

Lattice parameters (Å, degrees): 5.1435 15.4819 10.2416 90.00 90.00 90.00
With the nearest neighbours (Å) after each atom.
Space group Cmcm (No. 63)
Asymmetric unit:
Pr 0.0000 0.1659 0.0008 x8  2 Er 3.60-3.65, 3 Tm 3.62-3.67, 5 Pr 3.63-3.66, 2 Nd 3.63
Pr 0.0000 0.3330 0.2500 x4  6 Pr 3.63, 2 Nd 3.64, 2 Tm 3.66, 2 Er 3.67
Nd 0.0000 0.5000 0.0000 x4  2 Tm 3.61, 4 Er 3.63, 6 Pr 3.63-3.64
Er 0.0000 0.0019 0.2500 x4  2 Tm 3.60, 6 Pr 3.60-3.67, 4 Nd 3.63
Tm 0.0000 0.3355 0.7500 x4  2 Er 3.60, 2 Nd 3.61, 8 Pr 3.62-3.67

***

First-principles (GGA-PBE) data for an optimized crystal structure of Pr2Er2Sc, as listed in Alexandria via LeMat-Bulk.

Computed properties:
D(E_F), states/eV/f.u.: 4.50
Energy relative to the lowest polymorph listed for this composition, meV per atom: 113
E_form, meV per atom: 237
Total energy, eV/cell: -95.32

Lattice parameters (Å, degrees): 7.9571 13.6084 6.0974 90.00 90.00 90.00
With the nearest neighbours (Å) after each atom.
Space group Cmcm (No. 63)
Asymmetric unit:
Pr 0.0000 0.1618 0.2500 x4  6 Er 3.58-3.85, 4 Pr 3.61-4.01
Pr 0.0000 0.3037 0.7500 x4  2 Sc 3.08, 2 Er 3.29
Er 0.2053 0.0941 0.7500 x8  2 Sc 3.08, 1 Er 3.27, 1 Pr 3.29
Sc 0.0000 0.5000 0.0000 x4  2 Sc 3.05, 2 Pr 3.08, 4 Er 3.08

***

First-principles (GGA-PBE) data for an optimized crystal structure of Ta3ReSe, as listed in Alexandria via LeMat-Bulk.

Computed properties:
Energy relative to the elements, uncorrected, kJ/mol of atoms: 120
D(E_F), states/eV/f.u.: 5.80
Energy relative to the lowest polymorph listed for this composition, meV per atom: 0
Total energy, eV/cell: -45.28

Lattice parameters (Å, degrees): 4.6303 4.6303 4.6303 90.00 90.00 90.00
With the nearest neighbours (Å) after each atom.
Space group Pm-3m (No. 221)
Asymmetric unit:
Ta 0.0000 0.0000 0.5000 x3  2 Se 2.32
Re 0.5000 0.5000 0.5000 x1  12 Ta 3.27
Se 0.0000 0.0000 0.0000 x1  6 Ta 2.32

***

First-principles (GGA-PBE) data for an optimized crystal structure of Th6Co3Ir2Os, as listed in Alexandria via LeMat-Bulk.

Computed properties:
D(E_F), states/eV/f.u.: 5.29
E_form, meV per atom: -446
Total energy, eV/cell: -200.27

Lattice parameters (Å, degrees): 17.5615 4.0456 8.0753 90.00 103.02 90.00
With the nearest neighbours (Å) after each atom.
Space group C2/m (No. 12)
Asymmetric unit:
Th 0.0019 0.0000 0.2490 x4  3 Co 2.85-2.87, 2 Os 2.87, 1 Ir 2.91
Th 0.1637 0.5000 0.0898 x4  3 Co 2.80-2.81, 3 Ir 2.88-2.89
Th 0.1671 0.5000 0.5791 x4  3 Co 2.80-2.84, 1 Os 2.86, 2 Ir 2.90
Co 0.0000 0.5000 0.0000 x2  6 Th 2.80-2.85
Co 0.1694 0.0000 0.3339 x4  6 Th 2.80-2.87
Ir 0.1680 0.0000 0.8372 x4  6 Th 2.88-2.91
Os 0.0000 0.5000 0.5000 x2  6 Th 2.86-2.87

***

First-principles (GGA-PBE) data for an optimized crystal structure of LiSi2Rh2, as listed in Alexandria via LeMat-Bulk.

Computed properties:
Energy relative to the elements, uncorrected, kJ/mol of atoms: -54
D(E_F), states/eV/f.u.: 0.97
Energy relative to the lowest polymorph listed for this composition, meV per atom: 195
Total energy, eV/cell: -60.56

Lattice parameters (Å, degrees): 3.6716 3.6716 11.2807 90.00 90.00 90.00
With the nearest neighbours (Å) after each atom.
Space group I4/mmm (No. 139)
Asymmetric unit:
Li 0.0000 0.0000 0.0000 x2  8 Rh 2.91
Si 0.0000 0.5000 0.2500 x4  4 Rh 2.37, 4 Si 2.60
Rh 0.0000 0.0000 0.3832 x4  4 Si 2.37, 1 Rh 2.64

***

First-principles (GGA-PBE) data for an optimized crystal structure of Er3UBi4, as listed in Alexandria via LeMat-Bulk.

Computed properties:
D(E_F), states/eV/f.u.: 9.54
E_form, meV per atom: -554
Total energy, eV/cell: -89.87

Lattice parameters (Å, degrees): 8.9725 12.5982 4.4416 90.00 90.00 90.00
With the nearest neighbours (Å) after each atom.
Space group Cmmm (No. 65)
Asymmetric unit:
Er 0.0000 0.0000 0.0000 x2  6 Bi 3.13-3.14
Er 0.2500 0.2500 0.5000 x4  6 Bi 3.15-3.16
U 0.0000 0.5000 0.0000 x2  6 Bi 3.16-3.18
Bi 0.0000 0.2492 0.0000 x4  5 Er 3.14-3.16, 1 U 3.16
Bi 0.2460 0.0000 0.5000 x4  4 Er 3.13-3.15, 2 U 3.18

***

First-principles (GGA-PBE) data for an optimized crystal structure of LiPaAlPd, as listed in Alexandria via LeMat-Bulk.

Computed properties:
D(E_F), states/eV/f.u.: 4.02
E_form, meV per atom: -292
Total energy, eV/cell: -86.06

Lattice parameters (Å, degrees): 6.6634 6.6634 6.6634 90.00 90.00 90.00
With the nearest neighbours (Å) after each atom.
Space group F-43m (No. 216)
Asymmetric unit:
Li 0.0000 0.0000 0.0000 x4  4 Pa 2.89, 4 Al 2.89
Pa 0.2500 0.2500 0.2500 x4  4 Li 2.89, 4 Pd 2.89
Al 0.2500 0.2500 0.7500 x4  4 Li 2.89, 4 Pd 2.89
Pd 0.0000 0.0000 0.5000 x4  4 Pa 2.89, 4 Al 2.89

***

First-principles (GGA-PBE) data for an optimized crystal structure of ScZn2AgCl, as listed in Alexandria via LeMat-Bulk.

Computed properties:
Energy relative to the elements, uncorrected, kJ/mol of atoms: 16
D(E_F), states/eV/f.u.: 2.42
Total energy, eV/cell: -12.74

Lattice parameters (Å, degrees): 5.5199 5.5199 4.7821 90.00 90.00 90.00
With the nearest neighbours (Å) after each atom.
Space group P4/mmm (No. 123)
Asymmetric unit:
Sc 0.0000 0.0000 0.0000 x1  2 Cl 2.39
Zn 0.0000 0.5000 0.0000 x2  2 Sc 2.76
Ag 0.5000 0.5000 0.5000 x1  8 Zn 3.65, 4 Cl 3.90
Cl 0.0000 0.0000 0.5000 x1  2 Sc 2.39

***

First-principles (GGA-PBE) data for an optimized crystal structure of Tm4Cu2Ru, as listed in Alexandria via LeMat-Bulk.

Computed properties:
D(E_F), states/eV/f.u.: 5.28
E_form, meV per atom: -257
Total energy, eV/cell: -111.47

Lattice parameters (Å, degrees): 4.7999 4.7999 23.3625 90.00 90.00 120.00
With the nearest neighbours (Å) after each atom.
Space group R-3m (No. 166, hexagonal axes)
Asymmetric unit:
Tm 0.0000 0.0000 0.1229 x6  1 Ru 2.87, 4 Cu 2.94-3.01
Tm 0.0000 0.0000 0.3744 x6  4 Cu 2.86-2.93, 3 Ru 2.93
Cu 0.0000 0.0000 0.2518 x6  8 Tm 2.86-3.01
Ru 0.0000 0.0000 0.0000 x3  8 Tm 2.87-2.93

***

First-principles (GGA-PBE) data for an optimized crystal structure of Pm4CoGe3, as listed in Alexandria via LeMat-Bulk.

Computed properties:
D(E_F), states/eV/f.u.: 8.38
E_form, meV per atom: -643
Total energy, eV/cell: -45.10

Lattice parameters (Å, degrees): 4.0786 4.3216 10.8949 90.00 90.00 90.00
With the nearest neighbours (Å) after each atom.
Space group Pmm2 (No. 25)
Asymmetric unit:
Pm 0.0000 0.0000 0.0000 x1  6 Ge 3.07-3.32, 1 Co 3.07
Pm 0.0000 0.5000 0.4813 x1  5 Ge 3.05-3.13, 2 Co 3.06
Pm 0.5000 0.0000 0.7068 x1  7 Ge 3.05-3.24
Pm 0.5000 0.5000 0.2151 x1  4 Co 3.06, 3 Ge 3.08-3.13
Co 0.0000 0.0000 0.2822 x1  2 Ge 2.51
Ge 0.0000 0.5000 0.7682 x1  2 Ge 2.68
Ge 0.5000 0.0000 0.4170 x1  2 Co 2.51
Ge 0.5000 0.5000 0.9280 x1  2 Ge 2.68

***

First-principles (GGA-PBE) data for an optimized crystal structure of SrPd3Se, as listed in Alexandria via LeMat-Bulk.

Computed properties:
Energy relative to the elements, uncorrected, kJ/mol of atoms: 90
D(E_F), states/eV/f.u.: 2.06
Energy relative to the lowest polymorph listed for this composition, meV per atom: 1458
Total energy, eV/cell: -16.08

Lattice parameters (Å, degrees): 5.1405 5.1405 5.1405 90.00 90.00 90.00
With the nearest neighbours (Å) after each atom.
Space group Pm-3m (No. 221)
Asymmetric unit:
Sr 0.0000 0.0000 0.0000 x1  6 Pd 2.57
Pd 0.0000 0.0000 0.5000 x3  2 Sr 2.57
Se 0.5000 0.5000 0.5000 x1  12 Pd 3.63

***

First-principles (GGA-PBE) data for an optimized crystal structure of Ba6Na2AuN, as listed in Alexandria via LeMat-Bulk.

Computed properties:
Energy relative to the elements, uncorrected, kJ/mol of atoms: -22
D(E_F), states/eV/f.u.: 8.09
Total energy, eV/cell: -168.59

Lattice parameters (Å, degrees): 8.6584 8.6584 43.8987 90.00 90.00 120.00
With the nearest neighbours (Å) after each atom.
Space group R-3m (No. 166, hexagonal axes)
Asymmetric unit:
Ba 0.0240 0.5120 0.1297 x18  1 N 2.83
Ba 0.0256 0.5128 0.7038 x18  1 N 2.83
Na 0.0000 0.0000 0.1230 x6  12 Ba 4.34-4.44
Na 0.0000 0.0000 0.2905 x6  12 Ba 4.34-4.66
Au 0.0000 0.0000 0.4124 x6  6 Ba 3.21-3.26
N 0.0000 0.0000 0.0000 x3  6 Ba 2.83
N 0.0000 0.0000 0.5000 x3  6 Ba 2.83

***

First-principles (GGA-PBE) data for an optimized crystal structure of Li2GdSc, as listed in Alexandria via LeMat-Bulk.

Computed properties:
D(E_F), states/eV/f.u.: 4.59
Energy relative to the lowest polymorph listed for this composition, meV per atom: 0
E_form, meV per atom: 176
Total energy, eV/cell: -23.53

Lattice parameters (Å, degrees): 3.5958 3.5958 7.2475 90.00 90.00 90.00
With the nearest neighbours (Å) after each atom.
Space group P4/mmm (No. 123)
Asymmetric unit:
Li 0.0000 0.0000 0.2301 x2  4 Sc 3.04, 4 Gd 3.21, 1 Li 3.34
Gd 0.5000 0.5000 0.5000 x1  8 Li 3.21
Sc 0.5000 0.5000 0.0000 x1  8 Li 3.04